Record 1
A plane-wave DFT calculation with PBE was carried out for an optimized crystal structure of PmTmBi.

Lattice parameters (Å, degrees): 5.198 5.198 5.198 60.00 60.00 60.00
Positions (direct):
Bi  0.000  0.000  0.000
Pm  0.250  0.250  0.250
Tm  0.750  0.750  0.750

## Properties
Total magnetization, μB/f.u.: 0.03
Symmetry: F-43m, No. 216
Energy above the most stable polymorph in this dataset, eV per atom: 0.000
Raw total energy, eV for the cell shown: -14.16

Record 2
A plane-wave DFT calculation with PBE was carried out for an optimized crystal structure of Pm3Tm2Bi3.

Lattice parameters (Å, degrees): 9.257 9.257 6.457 90.00 90.00 120.00
Last column: magnetic moment on the atom in μB.
Positions (direct):
Bi  0.394  0.000  0.250  0.00
Bi  0.000  0.394  0.250  0.00
Bi  0.606  0.606  0.250  0.00
Bi  0.606  0.000  0.750  0.00
Bi  0.394  0.394  0.750  0.00
Bi  0.000  0.606  0.750  0.00
Pm  0.754  0.000  0.250  0.01
Pm  0.246  0.246  0.250  0.01
Pm  0.000  0.754  0.250  0.01
Pm  0.246  0.000  0.750  0.01
Pm  0.000  0.246  0.750  0.01
Pm  0.754  0.754  0.750  0.01
Tm  0.667  0.333  0.000  0.11
Tm  0.333  0.667  0.000  0.11
Tm  0.667  0.333  0.500  0.11
Tm  0.333  0.667  0.500  0.11

## Properties
Total magnetization, μB/f.u.: 0.31
Symmetry: P6_3/mcm, No. 193
Raw total energy, eV for the cell shown: -82.22

Record 3
A plane-wave DFT calculation with PBE was carried out for an optimized crystal structure of PmUBi.

Lattice parameters (Å, degrees): 5.319 5.319 5.319 60.00 60.00 60.00
Positions (direct):
Bi  0.250  0.250  0.250
Pm  0.750  0.750  0.750
U  0.000  0.000  0.000

## Properties
Total magnetization, μB/f.u.: 5.65
Symmetry: F-43m, No. 216
Energy above the most stable polymorph in this dataset, eV per atom: 0.000
Raw total energy, eV for the cell shown: -17.97

Record 4
A plane-wave DFT calculation with PBE was carried out for an optimized crystal structure of PmBiW.

Lattice parameters (Å, degrees): 5.105 5.105 5.105 60.00 60.00 60.00
Positions (direct):
Bi  0.250  0.250  0.250
Pm  0.000  0.000  0.000
W  0.750  0.750  0.750

## Properties
Total magnetization, μB/f.u.: 3.44
Symmetry: F-43m, No. 216
Energy above the most stable polymorph in this dataset, eV per atom: 0.443
Raw total energy, eV for the cell shown: -17.77

Record 5
A plane-wave DFT calculation with PBE was carried out for an optimized crystal structure of PmBiW.

Lattice parameters (Å, degrees): 4.897 4.897 4.897 60.00 60.00 60.00
Positions (direct):
Bi  0.000  0.000  0.000
Pm  0.250  0.250  0.250
W  0.750  0.750  0.750

## Properties
Total magnetization, μB/f.u.: 0.03
Symmetry: F-43m, No. 216
Energy above the most stable polymorph in this dataset, eV per atom: 0.000
Raw total energy, eV for the cell shown: -19.10

Record 6
A plane-wave DFT calculation with PBE was carried out for an optimized crystal structure of PmYBi.

Lattice parameters (Å, degrees): 5.231 5.231 5.231 60.00 60.00 60.00
Positions (direct):
Bi  0.000  0.000  0.000
Pm  0.250  0.250  0.250
Y  0.750  0.750  0.750

## Properties
Total magnetization, μB/f.u.: 0.00
Symmetry: F-43m, No. 216
Energy above the most stable polymorph in this dataset, eV per atom: 0.000
Raw total energy, eV for the cell shown: -16.43

Record 7
A plane-wave DFT calculation with PBE was carried out for an optimized crystal structure of PmYBi.

Lattice parameters (Å, degrees): 10.206 10.206 10.206 29.06 29.06 29.06
Last column: magnetic moment on the atom in μB.
Positions (direct):
Bi  0.078  0.078  0.078  0.00
Bi  0.922  0.922  0.922  0.00
Pm  0.303  0.303  0.303  0.02
Pm  0.697  0.697  0.697  0.02
Y  0.439  0.439  0.439  0.14
Y  0.561  0.561  0.561  0.14

## Properties
Total magnetization, μB/f.u.: 0.39
Symmetry: R-3m, No. 166
Energy above the most stable polymorph in this dataset, eV per atom: 0.257
Raw total energy, eV for the cell shown: -31.31

Record 8
A plane-wave DFT calculation with PBE was carried out for an optimized crystal structure of PmZrBi.

Lattice parameters (Å, degrees): 5.076 5.076 5.076 60.00 60.00 60.00
Last column: magnetic moment on the atom in μB.
Positions (direct):
Bi  0.000  0.000  0.000  -0.01
Pm  0.250  0.250  0.250  0.10
Zr  0.750  0.750  0.750  0.38

## Properties
Total magnetization, μB/f.u.: 0.76
Symmetry: F-43m, No. 216
Energy above the most stable polymorph in this dataset, eV per atom: 0.000
Raw total energy, eV for the cell shown: -17.57